Entry 1:
First-principles (PBE) data for Hf6HgBi after structural relaxation, as listed in Alexandria via LeMat-Bulk.

Cell lengths 5.603, 5.604, 5.606 Å; angles 90.00, 90.07, 90.00 degrees
Space group P2/m (No. 10)
Inequivalent atoms, fractional coordinates:
Hf 0.000 0.246 0.000 [2 per cell]
Hf 0.247 0.500 0.500 [2 per cell]
Hf 0.499 0.000 0.254 [2 per cell]
Hg 0.000 0.000 0.500 [1 per cell]
Bi 0.500 0.500 0.000 [1 per cell]

ΔE_f: -0.039 eV per atom
Total magnetic moment: 0.000 μB/f.u.

Entry 2:
First-principles (PBE) data for HfHg2Bi after structural relaxation, as listed in Alexandria via LeMat-Bulk.

Cell lengths 8.338, 8.338, 5.951 Å; angles 90.00, 90.00, 90.00 degrees
Space group I-42d (No. 122)
Inequivalent atoms, fractional coordinates:
Hf 0.000 0.000 0.000 [4 per cell]
Hg 0.230 0.250 0.125 [8 per cell]
Bi 0.000 0.000 0.500 [4 per cell]

ΔE_f: 0.177 eV per atom
Total magnetic moment: 0.000 μB/f.u.

Entry 3:
First-principles (PBE) data for Hf2HgBi2 after structural relaxation, as listed in Alexandria via LeMat-Bulk.

Cell lengths 4.386, 4.386, 14.294 Å; angles 90.00, 90.00, 90.00 degrees
Space group I4/mmm (No. 139)
Inequivalent atoms, fractional coordinates:
Hf 0.000 0.000 0.098 [4 per cell]
Hg 0.000 0.000 0.500 [2 per cell]
Bi 0.000 0.500 0.250 [4 per cell]

ΔE_f: 0.359 eV per atom
Total magnetic moment: 0.000 μB/f.u.